Entry from Alexandria via LeMat-Bulk: crystalline AlInPb3 at its relaxed geometry (PBE).

Cell and atoms, written as extended XYZ:
```
5
Lattice="5.7863 0.0000 0.0000 0.0000 5.7863 0.0000 0.0000 0.0000 5.7863" Properties=species:S:1:pos:R:3 pbc="T T T"
Al 0.0000 0.0000 0.0000
In 2.8931 2.8931 2.8931
Pb 0.0000 2.8931 2.8931
Pb 2.8931 0.0000 2.8931
Pb 2.8931 2.8931 0.0000
```

## Properties
For the excess energy over the best structure of this formula in the dataset, the calculation gives 0.342 eV per atom. The space-group type is No. 221. The calculation puts the formation energy at 721.3 meV/atom. Its density of states at the Fermi level is 3.70 states/eV/cell. Its total energy is -2.800 eV per atom.